No. 1
Ac8Co2Rh3: optimized geometry, PBE. Values from VASP.

Cell and atoms, written as Quantum ESPRESSO input:
```
&SYSTEM
  ibrav = 0, nat = 13, ntyp = 3
/
ATOMIC_SPECIES
Co 58.93 Co.upf
Ac 227.00 Ac.upf
Rh 102.91 Rh.upf
CELL_PARAMETERS angstrom
-7.261 0.719 -0.343
-3.406 -6.152 4.888
-2.755 1.856 7.893
ATOMIC_POSITIONS angstrom
Co -4.739 -3.186 9.517
Co -8.683 -0.391 2.922
Ac -5.406 -0.456 8.736
Rh -3.630 0.359 -0.171
Rh -3.240 -4.113 5.653
Ac -7.678 1.033 5.262
Ac -8.016 -3.122 3.702
Ac -9.505 -2.139 7.757
Ac -7.179 -3.602 11.151
Ac -6.243 0.024 1.287
Ac -5.743 -4.610 7.177
Rh -2.921 -0.183 7.128
Ac -3.917 -1.439 4.681
```

## Properties
Symmetry: C2/m
ΔH_f (0 K) in eV/atom: -0.36
Energy in eV per formula unit: -73.81
Theoretical density in Mg/m³: 8.54

No. 2
Ac8Co3Rh: optimized geometry, PBE. Values from VASP.

Cell and atoms, written as Quantum ESPRESSO input:
```
&SYSTEM
  ibrav = 0, nat = 12, ntyp = 3
/
ATOMIC_SPECIES
Ac 227.00 Ac.upf
Rh 102.91 Rh.upf
Co 58.93 Co.upf
CELL_PARAMETERS angstrom
8.567 0.000 0.000
-4.284 6.123 -4.207
0.000 -0.293 8.254
ATOMIC_POSITIONS angstrom
Ac 2.091 5.956 -2.220
Rh 0.000 0.000 0.000
Co -2.142 3.061 -2.103
Ac 0.000 2.914 4.189
Co 2.142 3.061 -2.103
Ac 4.284 2.915 -0.141
Ac 6.375 -0.126 6.268
Co 4.284 0.000 0.000
Ac 4.284 2.866 4.212
Ac 2.193 -0.126 6.268
Ac -2.091 5.956 -2.220
Ac 0.000 2.963 -0.164
```

## Properties
Symmetry: C2/m
ΔH_f (0 K) in eV/atom: -0.17
Energy in eV per formula unit: -63.57
Theoretical density in Mg/m³: 8.24

No. 3
Ac8CoRh4: optimized geometry, PBE. Values from VASP.

Cell and atoms, written as Quantum ESPRESSO input:
```
&SYSTEM
  ibrav = 0, nat = 13, ntyp = 3
/
ATOMIC_SPECIES
Ac 227.00 Ac.upf
Rh 102.91 Rh.upf
Co 58.93 Co.upf
CELL_PARAMETERS angstrom
4.240 0.000 0.917
1.858 10.874 1.670
-0.070 0.382 10.586
ATOMIC_POSITIONS angstrom
Ac 2.670 2.934 8.176
Ac 3.416 0.995 4.727
Ac 4.103 3.627 1.548
Rh 0.929 2.105 5.965
Rh 5.042 9.139 7.468
Ac 3.305 8.274 5.242
Ac 2.522 10.172 8.861
Ac 4.706 6.565 9.024
Ac 1.895 7.583 11.762
Ac 1.254 4.687 4.464
Rh 3.701 5.958 3.410
Co 4.391 8.805 10.478
Rh 2.261 5.028 10.068
```

## Properties
Symmetry: Cm
ΔH_f (0 K) in eV/atom: -0.38
Energy in eV per formula unit: -74.34
Theoretical density in Mg/m³: 7.80

No. 4
Ac12CoRh5: optimized geometry, PBE. Values from VASP.

Cell and atoms, written as Quantum ESPRESSO input:
```
&SYSTEM
  ibrav = 0, nat = 18, ntyp = 3
/
ATOMIC_SPECIES
Ac 227.00 Ac.upf
Rh 102.91 Rh.upf
Co 58.93 Co.upf
CELL_PARAMETERS angstrom
-5.069 -4.911 2.569
-2.410 -5.571 -4.424
8.380 -9.645 5.447
ATOMIC_POSITIONS angstrom
Ac 4.520 -6.575 3.687
Ac -1.209 -7.981 4.329
Ac -5.546 -9.585 0.110
Rh -0.837 -10.775 3.384
Ac 3.809 -12.045 6.657
Ac 3.956 -14.086 2.774
Ac 1.351 -6.553 1.134
Ac 2.043 -10.081 3.075
Rh -2.493 -3.494 -0.617
Rh -4.986 -6.989 -1.237
Ac -0.498 -2.511 1.360
Rh 1.739 -9.352 0.208
Ac 6.447 -10.542 3.483
Rh 1.656 -7.278 4.008
Ac -1.142 -10.046 0.518
Ac -0.450 -13.574 2.459
Ac -3.055 -6.042 0.819
Co 0.000 0.000 0.000
```

## Properties
Symmetry: C2/m
ΔH_f (0 K) in eV/atom: -0.47
Energy in eV per formula unit: -101.57
Theoretical density in Mg/m³: 8.20

> energy of number 2 (Ac8Co3Rh)?

-63.57 eV per formula unit

Copy entry 2 word for word.
Ac8Co3Rh: optimized geometry, PBE. Values from VASP.

Cell and atoms, written as Quantum ESPRESSO input:
```
&SYSTEM
  ibrav = 0, nat = 12, ntyp = 3
/
ATOMIC_SPECIES
Ac 227.00 Ac.upf
Rh 102.91 Rh.upf
Co 58.93 Co.upf
CELL_PARAMETERS angstrom
8.567 0.000 0.000
-4.284 6.123 -4.207
0.000 -0.293 8.254
ATOMIC_POSITIONS angstrom
Ac 2.091 5.956 -2.220
Rh 0.000 0.000 0.000
Co -2.142 3.061 -2.103
Ac 0.000 2.914 4.189
Co 2.142 3.061 -2.103
Ac 4.284 2.915 -0.141
Ac 6.375 -0.126 6.268
Co 4.284 0.000 0.000
Ac 4.284 2.866 4.212
Ac 2.193 -0.126 6.268
Ac -2.091 5.956 -2.220
Ac 0.000 2.963 -0.164
```

## Properties
Symmetry: C2/m
ΔH_f (0 K) in eV/atom: -0.17
Energy in eV per formula unit: -63.57
Theoretical density in Mg/m³: 8.24

> Among the records above, which one has the highest theoretical density?

Ac8Co2Rh3

> Number 2 is which compound?

Ac8Co3Rh